A plane-wave DFT calculation with PBE was carried out for a relaxed structure of TbHo4Cd3.

Structure (CIF):
```
data_TbHo4Cd3
_cell_length_a 5.3152
_cell_length_b 5.3152
_cell_length_c 26.9017
_cell_angle_alpha 90.00
_cell_angle_beta 90.00
_cell_angle_gamma 120.00
_symmetry_space_group_name_H-M 'R -3 m'
_symmetry_Int_Tables_number 166
_symmetry_space_group_name_Hall '-R 3 2"'
loop_
_atom_site_label
_atom_site_type_symbol
_atom_site_fract_x
_atom_site_fract_y
_atom_site_fract_z
Tb1 Tb 0.0000 0.0000 0.0000
Ho1 Ho 0.0000 0.0000 0.1298
Ho2 Ho 0.0000 0.0000 0.3861
Cd1 Cd 0.0000 0.0000 0.2593
Cd2 Cd 0.0000 0.0000 0.5000
```

For the formation energy, the calculation gives -0.164 eV/atom. The uncorrected energy comes out at -3.38 eV/atom.